First-principles (meta-GGA SCAN) data for BaGa2Pd2 at its PBEsol-relaxed geometry, as listed in Alexandria.

extended XYZ file:
```
5
Lattice="4.393 0.000 0.000 0.000 4.393 0.000 -2.197 -2.197 5.414" Properties=species:S:1:pos:R:3 pbc="T T T"
Ga 2.197 0.000 2.707
Ga 0.000 2.197 2.707
Pd 0.000 0.000 4.000
Ba 0.000 0.000 0.000
Pd 2.196 2.196 1.414
```

## Properties
Energy of formation from the pure elements   -62.72 kJ/mol of atoms
Volume   104.5 Å³/f.u.

First-principles (meta-GGA SCAN) data for BaGaRe3 at its PBEsol-relaxed geometry, as listed in Alexandria.

extended XYZ file:
```
5
Lattice="-0.768 4.617 0.565 -4.386 -0.909 1.469 1.548 -0.286 4.444" Properties=species:S:1:pos:R:3 pbc="T T T"
Ba -1.803 1.711 3.239
Re -0.384 2.308 0.282
Re -2.193 -0.454 0.735
Re 0.774 -0.143 2.222
Ga 0.000 0.000 0.000
```

## Properties
Energy of formation from the pure elements   180.43 kJ/mol of atoms
Volume   104.8 Å³/f.u.

First-principles (meta-GGA SCAN) data for BaGa3Re at its PBEsol-relaxed geometry, as listed in Alexandria.

extended XYZ file:
```
5
Lattice="4.876 0.000 0.000 0.000 4.876 0.000 0.000 0.000 4.876" Properties=species:S:1:pos:R:3 pbc="T T T"
Re 0.000 0.000 0.000
Ga 0.000 0.000 2.438
Ga 2.438 0.000 0.000
Ba 2.438 2.438 2.438
Ga 0.000 2.438 0.000
```

## Properties
Energy of formation from the pure elements   -42.92 kJ/mol of atoms
Volume   115.9 Å³/f.u.

First-principles (meta-GGA SCAN) data for BaTi2GaRe at its PBEsol-relaxed geometry, as listed in Alexandria.

extended XYZ file:
```
5
Lattice="-4.742 -0.165 0.866 -0.549 -3.153 -3.608 0.742 -3.919 3.312" Properties=species:S:1:pos:R:3 pbc="T T T"
Ti -2.371 -0.083 0.433
Ti -0.275 -1.577 -1.804
Ga 0.371 -1.960 1.656
Re -2.275 -3.619 0.285
Ba 0.000 0.000 0.000
```

## Properties
Energy of formation from the pure elements   257.25 kJ/mol of atoms
Volume   120.6 Å³/f.u.

First-principles (meta-GGA SCAN) data for Ba2GaRh at its PBEsol-relaxed geometry, as listed in Alexandria.

extended XYZ file:
```
8
Lattice="4.802 0.000 0.000 2.401 8.048 0.000 2.401 0.000 8.048" Properties=species:S:1:pos:R:3 pbc="T T T"
Rh 6.002 4.024 4.024
Ba 6.602 6.607 2.583
Ga 3.601 4.024 4.024
Ba 6.602 1.441 5.464
Rh 0.000 0.000 0.000
Ba 5.402 2.583 1.441
Ga 2.401 0.000 0.000
Ba 5.402 5.464 6.607
```

## Properties
Energy of formation from the pure elements   -34.56 kJ/mol of atoms
Volume   155.5 Å³/f.u.

First-principles (meta-GGA SCAN) data for Ba2GaRh2 at its PBEsol-relaxed geometry, as listed in Alexandria.

extended XYZ file:
```
5
Lattice="-2.394 4.986 -1.127 -1.845 -4.336 -3.106 -1.135 -2.141 5.097" Properties=species:S:1:pos:R:3 pbc="T T T"
Ba -2.865 -1.295 -1.618
Ga 0.000 0.000 0.000
Ba -2.510 -0.197 2.483
Rh -2.026 -4.403 1.354
Rh -0.954 -2.074 0.638
```

## Properties
Energy of formation from the pure elements   -14.52 kJ/mol of atoms
Volume   134.4 Å³/f.u.

First-principles (meta-GGA SCAN) data for BaGa3Rh at its PBEsol-relaxed geometry, as listed in Alexandria.

extended XYZ file:
```
5
Lattice="4.794 0.000 0.000 0.000 4.794 0.000 0.000 0.000 4.794" Properties=species:S:1:pos:R:3 pbc="T T T"
Ga 2.397 0.000 0.000
Rh 0.000 0.000 0.000
Ba 2.397 2.397 2.397
Ga 0.000 2.397 0.000
Ga 0.000 0.000 2.397
```

## Properties
Energy of formation from the pure elements   -57.59 kJ/mol of atoms
Volume   110.2 Å³/f.u.

First-principles (meta-GGA SCAN) data for BaGa3Ru at its PBEsol-relaxed geometry, as listed in Alexandria.

extended XYZ file:
```
5
Lattice="-2.024 1.437 4.104 3.190 -2.585 2.479 2.954 3.776 0.135" Properties=species:S:1:pos:R:3 pbc="T T T"
Ru 2.060 1.314 3.359
Ga 3.072 0.595 1.307
Ba 0.000 0.000 0.000
Ga 0.583 -0.574 3.291
Ga 0.465 2.606 2.119
```

## Properties
Energy of formation from the pure elements   -54.71 kJ/mol of atoms
Volume   110.3 Å³/f.u.

First-principles (meta-GGA SCAN) data for BaGaS2 at its PBEsol-relaxed geometry, as listed in Alexandria.

extended XYZ file:
```
8
Lattice="6.145 0.000 0.000 0.000 6.145 0.000 -3.073 -3.073 6.601" Properties=species:S:1:pos:R:3 pbc="T T T"
Ba 0.000 3.073 3.301
Ga 3.073 3.073 0.000
S -1.536 -1.022 4.951
S 2.051 4.609 1.650
Ba 0.000 0.000 0.000
S 4.095 1.536 1.650
Ga 3.073 0.000 3.301
S 1.536 1.022 4.951
```

## Properties
Uncorrected energy   -19.93 eV per atom
Volume   124.6 Å³/f.u.

First-principles (meta-GGA SCAN) data for Ba2GaSbS5 at its PBEsol-relaxed geometry, as listed in Alexandria.

extended XYZ file:
```
36
Lattice="8.788 0.000 0.000 0.000 8.905 0.000 0.000 0.000 12.053" Properties=species:S:1:pos:R:3 pbc="T T T"
S 2.197 5.509 2.548
S 4.820 5.986 11.420
S 6.591 4.137 6.138
S 8.362 5.986 11.420
S 6.591 3.397 9.505
Sb 6.591 0.261 5.796
Ba 4.335 3.379 3.885
Ga 6.591 7.381 10.928
Ba 4.453 5.527 8.168
Sb 2.197 4.714 0.231
Ga 2.197 2.928 7.151
S 2.197 1.040 3.321
S 4.820 7.372 5.394
S 2.197 3.413 9.347
S 3.968 2.919 0.633
S 6.591 5.493 2.706
S 2.197 7.849 8.575
Ba 0.059 3.379 3.885
Ga 2.197 1.524 1.124
Ba 4.335 1.074 9.911
Ba 8.729 7.831 2.142
S 0.426 2.919 0.633
S 2.197 8.590 11.942
S 2.197 4.768 5.915
S 3.968 1.533 6.659
S 6.591 7.865 8.732
S 6.591 0.315 0.111
Ba 4.453 7.831 2.142
Sb 2.197 8.644 6.257
Ba 8.729 5.527 8.168
S 8.362 7.372 5.394
Sb 6.591 4.191 11.822
S 6.591 1.056 3.478
Ga 6.591 5.977 4.902
S 0.426 1.533 6.659
Ba 0.059 1.074 9.911
```

## Properties
Uncorrected energy   -21.56 eV per atom
Volume   235.8 Å³/f.u.

First-principles (meta-GGA SCAN) data for BaGa3Sb at its PBEsol-relaxed geometry, as listed in Alexandria.

extended XYZ file:
```
5
Lattice="5.380 0.000 0.000 0.000 5.380 0.000 0.000 0.000 5.380" Properties=species:S:1:pos:R:3 pbc="T T T"
Ba 2.690 2.690 2.690
Ga 2.690 0.000 0.000
Ga 0.000 2.690 0.000
Ga 0.000 0.000 2.690
Sb 0.000 0.000 0.000
```

## Properties
Uncorrected energy   -25.06 eV per atom
Volume   155.7 Å³/f.u.

First-principles (meta-GGA SCAN) data for BaGa3Se at its PBEsol-relaxed geometry, as listed in Alexandria.

extended XYZ file:
```
5
Lattice="-3.740 -1.251 3.377 -2.318 -2.889 -3.638 2.756 -4.128 1.522" Properties=species:S:1:pos:R:3 pbc="T T T"
Se 0.000 0.000 0.000
Ga -1.159 -1.445 -1.819
Ga -1.870 -0.626 1.689
Ga 1.378 -2.064 0.761
Ba -1.651 -4.134 0.631
```

## Properties
Uncorrected energy   -21.65 eV per atom
Volume   139.9 Å³/f.u.

First-principles (meta-GGA SCAN) data for BaGa4Se7 at its PBEsol-relaxed geometry, as listed in Alexandria.

extended XYZ file:
```
24
Lattice="-1.845 -1.087 -6.145 7.028 -2.289 -1.706 -3.056 -11.805 3.006" Properties=species:S:1:pos:R:3 pbc="T T T"
Se 3.508 -6.185 -3.465
Ba 2.847 -2.127 -2.898
Se -0.629 -11.829 -4.478
Se 3.695 -8.296 -0.377
Ga -0.373 -4.202 -4.948
Ga 3.109 -5.510 -5.705
Se 2.610 -4.801 -0.179
Se 5.965 -3.044 -3.798
Ga 0.217 -10.419 -2.601
Ga -0.701 -9.543 0.753
Ba -2.745 -7.209 -2.372
Ga 6.990 -2.300 -1.771
Se -0.840 -3.737 0.781
Se -4.146 -10.569 -3.532
Ga 0.144 -8.120 -5.419
Se 0.441 -8.086 -3.048
Se 2.272 -11.566 -2.128
Se 0.311 -4.505 -2.696
Ga 2.875 -10.505 -0.093
Se -1.502 -10.924 -1.002
Se -0.393 -7.210 0.355
Se 3.360 -3.212 -6.294
Se 0.258 -2.105 -5.861
Ga -1.269 -3.078 -1.587
```

## Properties
Uncorrected energy   -21.43 eV per atom
Volume   310.0 Å³/f.u.

First-principles (meta-GGA SCAN) data for Ba2GaSe2 at its PBEsol-relaxed geometry, as listed in Alexandria.

extended XYZ file:
```
5
Lattice="-4.672 -3.079 2.924 -2.597 -1.368 -5.589 5.915 -1.400 1.160" Properties=species:S:1:pos:R:3 pbc="T T T"
Se -2.777 -3.585 -1.397
Se 1.424 -2.262 -0.108
Ba -0.158 -2.496 -2.881
Ga 0.000 0.000 0.000
Ba -1.196 -3.351 1.376
```

## Properties
Uncorrected energy   -28.22 eV per atom
Volume   170.8 Å³/f.u.

First-principles (meta-GGA SCAN) data for Ba4Ga3Si20 at its PBEsol-relaxed geometry, as listed in Alexandria.

extended XYZ file:
```
54
Lattice="-9.904 3.005 -0.719 -2.217 -8.593 -5.375 -2.152 -4.977 8.845" Properties=species:S:1:pos:R:3 pbc="T T T"
Ga -5.490 0.258 1.852
Si -8.880 -0.063 0.057
Si -5.394 -10.502 2.695
Ba -6.615 -4.942 -4.390
Si -10.276 -5.475 -3.328
Si -1.758 -4.472 5.529
Si -1.834 -2.258 -1.717
Si -6.211 -2.089 1.973
Si -7.643 -3.419 -1.395
Si -8.161 -2.215 0.601
Si -3.261 0.330 0.818
Ba -2.723 -8.029 3.947
Si -0.913 -2.518 2.058
Ba -8.504 -0.235 3.884
Ga -2.739 -8.933 0.392
Si -9.886 -3.363 1.787
Si -10.405 -5.376 0.528
Ba -1.647 -5.541 -0.476
Si -4.388 -7.202 0.965
Ga -8.537 -2.043 -3.226
Si -4.495 -3.327 0.867
Si -8.982 -5.396 -1.389
Si -6.112 -8.350 2.151
Si -7.558 -7.310 -1.293
Si -9.418 0.043 -2.267
Ga -3.585 -3.545 -2.867
Si -6.715 -3.255 4.045
Si -5.323 -4.123 -1.227
Si -2.704 -5.631 -3.826
Si -8.951 -6.442 3.979
Si -4.038 -7.368 -2.876
Si -2.642 -1.955 0.509
Si -4.909 -3.481 7.591
Si -5.292 -5.169 4.141
Ba -5.506 -0.646 -1.703
Si -9.779 -7.238 1.885
Si -8.958 -4.057 3.875
Si -3.868 -5.189 2.224
Si -8.796 -2.302 7.309
Si -2.611 -9.099 -2.058
Ba -7.137 -5.282 1.376
Si -3.997 -5.090 6.080
Si -3.456 -11.052 1.413
Si -10.288 -3.329 -4.376
Si -5.316 -6.508 -1.123
Ba -3.552 -1.737 4.243
Ba 0.000 0.000 0.000
Si -11.632 -8.610 2.243
Si -10.235 -3.197 5.628
Si -8.062 -8.476 0.779
Ga -6.566 -2.230 6.275
Ga -1.630 -4.637 3.079
Si -7.148 1.509 0.536
Si -6.631 -7.146 4.147
```

## Properties
Uncorrected energy   -15.28 eV per atom
Volume   558.4 Å³/f.u.

First-principles (meta-GGA SCAN) data for BaGaSi at its PBEsol-relaxed geometry, as listed in Alexandria.

extended XYZ file:
```
3
Lattice="-0.931 -3.051 2.754 1.091 -0.987 -3.949 4.862 -0.220 1.399" Properties=species:S:1:pos:R:3 pbc="T T T"
Ga 2.174 -2.473 1.219
Ba 0.000 0.000 0.000
Si 2.848 -1.785 -1.015
```

## Properties
Uncorrected energy   -22.47 eV per atom
Volume   77.9 Å³/f.u.

First-principles (meta-GGA SCAN) data for Ba5Ga5Sn at its PBEsol-relaxed geometry, as listed in Alexandria.

extended XYZ file:
```
11
Lattice="-3.606 -4.704 -0.845 2.297 1.075 5.423 -8.458 6.056 2.381" Properties=species:S:1:pos:R:3 pbc="T T T"
Ba -1.388 0.378 3.817
Ga -4.776 1.319 3.594
Ga -3.170 3.414 3.970
Ga -4.426 -0.781 2.030
Sn 0.000 0.000 0.000
Ga -3.753 1.798 6.009
Ba -6.411 3.976 5.232
Ba -5.656 4.050 1.592
Ba -1.639 -2.778 1.245
Ga -7.308 1.282 2.841
Ba -2.802 2.006 0.789
```

## Properties
Energy of formation from the pure elements   -55.32 kJ/mol of atoms
Volume   331.3 Å³/f.u.

First-principles (meta-GGA SCAN) data for Ba2YGaSn at its PBEsol-relaxed geometry, as listed in Alexandria.

extended XYZ file:
```
5
Lattice="5.591 0.000 0.000 0.000 5.958 0.000 0.000 0.000 5.958" Properties=species:S:1:pos:R:3 pbc="T T T"
Sn 2.796 2.979 2.979
Ba 0.000 0.000 2.979
Ba 0.000 2.979 0.000
Y 2.796 0.000 0.000
Ga 0.000 0.000 0.000
```

## Properties
Energy of formation from the pure elements   -7.04 kJ/mol of atoms
Volume   198.5 Å³/f.u.

First-principles (meta-GGA SCAN) data for BaSr2Ga2 at its PBEsol-relaxed geometry, as listed in Alexandria.

extended XYZ file:
```
5
Lattice="-0.092 -1.043 5.144 1.821 -4.832 -0.947 5.130 5.090 -1.554" Properties=species:S:1:pos:R:3 pbc="T T T"
Ga 2.004 -2.528 2.202
Sr 3.908 -1.340 -0.201
Ba 0.000 0.000 0.000
Sr 2.951 0.555 2.844
Ga 4.854 1.743 0.441
```

## Properties
ΔE to the lowest computed polymorph   58 meV/atom
Energy of formation from the pure elements   -26.57 kJ/mol of atoms
Volume   176.2 Å³/f.u.

First-principles (meta-GGA SCAN) data for BaSrGa4 at its PBEsol-relaxed geometry, as listed in Alexandria.

extended XYZ file:
```
6
Lattice="4.339 0.000 0.000 -2.169 3.757 0.000 0.000 0.000 9.703" Properties=species:S:1:pos:R:3 pbc="T T T"
Ga 2.169 1.252 7.381
Ga 2.169 1.252 2.323
Sr 0.000 0.000 0.000
Ba 0.000 0.000 4.852
Ga 0.000 2.505 7.381
Ga 0.000 2.505 2.323
```

## Properties
Energy of formation from the pure elements   -55.85 kJ/mol of atoms
Volume   158.2 Å³/f.u.